1.
5
Lattice="4.8639 0.0000 0.0000 0.0000 4.8639 0.0000 0.0000 0.0000 4.8639" Properties=species:S:1:pos:R:3 comment="CdSi3W | Alexandria | PBE-GGA | relaxed" formation_energy_uncorrected_mev_per_atom=2088 density_g_cm3=5.491 sg=Pm-3m relative_energy_ev_per_atom=1.5571 pbc="T T T"
Cd 0.0000 0.0000 0.0000
Si 2.4320 0.0000 0.0000
Si 0.0000 2.4320 0.0000
Si 0.0000 0.0000 2.4320
W 2.4320 2.4320 2.4320

***

2.
5
Lattice="4.5135 0.0000 0.0000 0.0000 4.5135 0.0000 0.0000 0.0000 4.5135" Properties=species:S:1:pos:R:3 comment="V3CuS | Alexandria | PBE-GGA | relaxed" formation_energy_uncorrected_mev_per_atom=1178 density_g_cm3=4.487 sg=Pm-3m relative_energy_ev_per_atom=0.9231 pbc="T T T"
Cu 0.0000 0.0000 0.0000
S 2.2567 2.2567 2.2567
V 2.2567 0.0000 0.0000
V 0.0000 2.2567 0.0000
V 0.0000 0.0000 2.2567